Record 1
Material: Tm2Al3Ga2
Method: DFT, GGA-PBE
State: optimized geometry

abc: 4.2487 19.2854 3.4138
angles: 90.00 90.00 90.00
Last column: nearest neighbours and their distance in Å.
Space group Cmmm (No. 65)
Asymmetric unit:
Tm: 0.0000 0.1558 0.0000  6 Ga 2.93-3.08, 5 Al 3.00-3.19
Al: 0.0000 0.0000 0.0000  2 Tm 3.00, 8 Al 3.04
Al: 0.0000 0.4303 0.5000  1 Al 2.69, 1 Ga 2.73
Ga: 0.0000 0.2889 0.5000  2 Ga 2.60, 1 Al 2.73

The calculation puts the offset from the most stable computed form at 0.1111 eV/atom. The formation energy comes out at -0.35 eV per atom. Its energy is -4.10 eV/atom.

***

Record 2
Material: LiNbFeTe
Method: DFT, GGA-PBE
State: optimized geometry

abc: 3.5039 3.9611 4.7732
angles: 90.00 90.00 90.00
Last column: nearest neighbours and their distance in Å.
Space group Pmm2 (No. 25)
Asymmetric unit:
Li: 0.0000 0.0000 0.0000  4 Te 2.65, 2 Fe 2.70, 2 Nb 2.96
Nb: 0.0000 0.5000 0.5403  4 Fe 2.69, 2 Li 2.96, 4 Te 2.96
Fe: 0.5000 0.0000 0.4312  4 Nb 2.69, 2 Li 2.70, 2 Te 2.72
Te: 0.5000 0.5000 0.0406  4 Li 2.65, 2 Fe 2.72, 4 Nb 2.96

The calculation puts the offset from the most stable computed form at 0.1594 eV/atom. The formation energy (no corrections) is 0.081 eV/atom. Its energy is -5.82 eV/atom.

***

Record 3
Material: SrLiNi
Method: DFT, GGA-PBE
State: optimized geometry

abc: 6.9035 6.9035 6.9035
angles: 90.00 90.00 90.00
Last column: nearest neighbours and their distance in Å.
Space group F-43m (No. 216)
Asymmetric unit:
Sr: 0.0000 0.0000 0.0000  4 Li 2.99, 4 Ni 2.99
Li: 0.2500 0.2500 0.2500  4 Sr 2.99
Ni: 0.2500 0.2500 0.7500  4 Sr 2.99

The calculation puts the offset from the most stable computed form at 0.6582 eV/atom. The formation energy comes out at 0.66 eV per atom. Its energy is -2.47 eV/atom.

***

Record 4
Material: KTeAs2Br
Method: DFT, GGA-PBE
State: optimized geometry

abc: 5.3448 5.3448 6.3823
angles: 90.00 90.00 90.00
Last column: nearest neighbours and their distance in Å.
Space group P4/mmm (No. 123)
Asymmetric unit:
K: 0.0000 0.0000 0.0000  4 Br 3.78, 8 As 4.16
Te: 0.5000 0.5000 0.5000  4 As 2.67
As: 0.0000 0.5000 0.5000  2 Te 2.67
Br: 0.5000 0.5000 0.0000  2 Te 3.19

The calculation puts the offset from the most stable computed form at 0.0000 eV/atom. The formation energy (no corrections) is 0.103 eV/atom. Its energy is -2.94 eV/atom.

***

Record 5
Material: Zn4CdCu5
Method: DFT, GGA-PBE
State: optimized geometry

abc: 3.0389 3.0389 14.8338
angles: 90.00 90.00 90.00
Last column: nearest neighbours and their distance in Å.
Space group P4/mmm (No. 123)
Asymmetric unit:
Zn: 0.0000 0.0000 0.0955  8 Cu 2.57-2.58, 2 Zn 2.83-2.84
Zn: 0.0000 0.0000 0.2872  8 Cu 2.54-2.57, 1 Zn 2.84
Cd: 0.0000 0.0000 0.5000  8 Cu 2.80, 4 Cd 3.04
Cu: 0.5000 0.5000 0.0000  8 Zn 2.57, 2 Cu 2.84
Cu: 0.5000 0.5000 0.1917  8 Zn 2.57-2.58, 2 Cu 2.77-2.84
Cu: 0.5000 0.5000 0.3786  4 Zn 2.54, 1 Cu 2.77, 4 Cd 2.80

The formation energy comes out at -0.06 eV per atom. Its energy is -2.71 eV/atom.

***

Record 6
Material: Sc3VS
Method: DFT, GGA-PBE
State: optimized geometry

abc: 4.8210 4.8210 4.8210
angles: 90.00 90.00 90.00
Last column: nearest neighbours and their distance in Å.
Space group Pm-3m (No. 221)
Asymmetric unit:
Sc: 0.0000 0.0000 0.5000  2 S 2.41
V: 0.5000 0.5000 0.5000  12 Sc 3.41
S: 0.0000 0.0000 0.0000  6 Sc 2.41

The calculation puts the offset from the most stable computed form at 0.0000 eV/atom. The formation energy (no corrections) is -0.314 eV/atom. Its energy is -6.76 eV/atom.

***

Record 7
Material: ScTi5N4
Method: DFT, GGA-PBE
State: optimized geometry

abc: 12.9736 3.0615 6.1687
angles: 90.00 105.13 90.00
Last column: nearest neighbours and their distance in Å.
Space group C2/m (No. 12)
Asymmetric unit:
Sc: 0.0000 0.0000 0.0000  6 N 2.16-2.23
Ti: 0.0000 0.0000 0.5000  4 N 2.12
Ti: 0.1632 0.5000 0.8513  4 N 2.07-2.12
Ti: 0.1725 0.5000 0.3194  3 N 2.08-2.10
N: 0.0055 0.5000 0.2653  4 Ti 2.10-2.12, 2 Sc 2.23
N: 0.1722 0.0000 0.0906  5 Ti 2.07-2.11, 1 Sc 2.16

The formation energy (no corrections) is -1.473 eV/atom. Its energy is -9.38 eV/atom.

***

Record 8
Material: Mg6VCr
Method: DFT, GGA-PBE
State: optimized geometry

abc: 6.1962 6.1962 4.9772
angles: 90.00 90.00 120.00
Last column: nearest neighbours and their distance in Å.
Space group P-6m2 (No. 187)
Asymmetric unit:
Mg: 0.0064 0.5032 0.0000  8 Mg 3.04-3.16, 2 Cr 3.04, 2 V 3.10
Mg: 0.3243 0.1621 0.5000  8 Mg 3.01-3.18, 2 V 3.04, 2 Cr 3.10
V: 0.0000 0.0000 0.0000  12 Mg 3.04-3.10
Cr: 0.3333 0.6667 0.5000  12 Mg 3.04-3.10

The calculation puts the offset from the most stable computed form at 0.0000 eV/atom. The formation energy comes out at 0.28 eV per atom. Its energy is -3.26 eV/atom.

***

Record 9
Material: SnTeSe2N
Method: DFT, GGA-PBE
State: optimized geometry

abc: 5.4793 5.4793 4.0053
angles: 90.00 90.00 90.00
Last column: nearest neighbours and their distance in Å.
Space group P4/mmm (No. 123)
Asymmetric unit:
Sn: 0.0000 0.0000 0.0000  8 Se 3.39
Te: 0.5000 0.5000 0.5000  2 N 2.00
Se: 0.0000 0.5000 0.5000  2 Te 2.74
N: 0.5000 0.5000 0.0000  2 Te 2.00

The calculation puts the offset from the most stable computed form at 0.0000 eV/atom. The formation energy (no corrections) is 0.637 eV/atom. Its energy is -3.85 eV/atom.

***

Record 10
Material: Y2HgCl
Method: DFT, GGA-PBE
State: optimized geometry

abc: 7.6734 7.6734 7.6734
angles: 90.00 90.00 90.00
Last column: nearest neighbours and their distance in Å.
Space group F-43m (No. 216)
Asymmetric unit:
Y: 0.0000 0.0000 0.0000  4 Cl 3.32, 4 Y 3.32
Y: 0.2500 0.2500 0.2500  4 Hg 3.32, 4 Y 3.32
Hg: 0.0000 0.0000 0.5000  4 Y 3.32, 4 Cl 3.32
Cl: 0.2500 0.2500 0.7500  4 Hg 3.32, 4 Y 3.32

The calculation puts the offset from the most stable computed form at 0.9409 eV/atom. The formation energy (no corrections) is 0.038 eV/atom. Its energy is -3.73 eV/atom.

***

Record 11
Material: La3SbI
Method: DFT, GGA-PBE
State: optimized geometry

abc: 6.0748 6.0748 6.0748
angles: 90.00 90.00 90.00
Last column: nearest neighbours and their distance in Å.
Space group Pm-3m (No. 221)
Asymmetric unit:
La: 0.0000 0.0000 0.5000  2 Sb 3.04
Sb: 0.0000 0.0000 0.0000  6 La 3.04
I: 0.5000 0.5000 0.5000  12 La 4.30

The calculation puts the offset from the most stable computed form at 0.4345 eV/atom. The formation energy (no corrections) is -0.230 eV/atom. Its energy is -4.32 eV/atom.

***

Record 12
Material: PmSc2O4
Method: DFT, GGA-PBE
State: optimized geometry

abc: 6.0750 6.0750 10.2827
angles: 90.00 90.00 90.00
Last column: nearest neighbours and their distance in Å.
Space group I4_1/a (No. 88, origin choice 2)
Asymmetric unit:
Pm: 0.0000 0.2500 0.1250  8 O 2.50-2.52
Sc: 0.0000 0.0000 0.5000  4 O 2.07-2.08
O: 0.1474 0.0532 0.3200  2 Sc 2.07-2.08

The calculation puts the offset from the most stable computed form at 0.1408 eV/atom. The formation energy (no corrections) is -3.095 eV/atom. Its energy is -8.42 eV/atom.

***

Record 13
Material: Ti2H2Pb
Method: DFT, GGA-PBE
State: optimized geometry

abc: 5.3540 5.3540 9.4700
angles: 90.00 90.00 90.00
Last column: nearest neighbours and their distance in Å.
Space group I4_1md (No. 109)
Asymmetric unit:
Ti: 0.0000 0.2430 0.0000  3 H 1.88-1.89
H: 0.0000 0.2612 0.1985  3 Ti 1.88-1.89
Pb: 0.0000 0.0000 0.4554  6 H 2.81-3.02, 6 Ti 3.04-3.11

The calculation puts the offset from the most stable computed form at 0.1580 eV/atom. Its energy is -5.36 eV/atom.

***

Record 14
Material: Pa2Te2PtN2
Method: DFT, GGA-PBE
State: optimized geometry

abc: 3.9170 3.9170 12.2702
angles: 90.00 90.00 120.00
Last column: nearest neighbours and their distance in Å.
Space group P-3m1 (No. 164)
Asymmetric unit:
Pa: 0.3333 0.6667 0.1178  4 N 2.29-2.34
Te: 0.0000 0.0000 0.2927  1 Pt 2.54
Pt: 0.0000 0.0000 0.5000  2 Te 2.54
N: 0.3333 0.6667 0.9309  4 Pa 2.29-2.34

The formation energy (no corrections) is -0.963 eV/atom. Its energy is -7.82 eV/atom.

***

Record 15
Material: Tm3Mg2C
Method: DFT, GGA-PBE
State: optimized geometry

abc: 5.0297 16.3026 3.4273
angles: 90.00 90.00 90.00
Last column: nearest neighbours and their distance in Å.
Space group Cmmm (No. 65)
Asymmetric unit:
Tm: 0.0000 0.0000 0.0000  2 C 2.51
Tm: 0.0000 0.3963 0.5000  2 C 2.41
Mg: 0.0000 0.2013 0.0000  2 Mg 2.97, 1 Tm 3.28
C: 0.0000 0.5000 0.0000  6 Tm 2.41-2.51

The formation energy comes out at -0.17 eV per atom. Its energy is -4.48 eV/atom.

***

Record 16
Material: LaPWS2
Method: DFT, GGA-PBE
State: optimized geometry

abc: 4.7126 4.7126 4.7766
angles: 90.00 90.00 90.00
Last column: nearest neighbours and their distance in Å.
Space group P4/mmm (No. 123)
Asymmetric unit:
La: 0.0000 0.0000 0.0000  4 P 3.33, 8 S 3.36
P: 0.5000 0.5000 0.0000  2 W 2.39
W: 0.5000 0.5000 0.5000  4 S 2.36, 2 P 2.39
S: 0.0000 0.5000 0.5000  2 W 2.36

The calculation puts the offset from the most stable computed form at 0.0000 eV/atom. The formation energy (no corrections) is -0.725 eV/atom. Its energy is -7.03 eV/atom.

***

Record 17
Material: K8AuI4Br3
Method: DFT, GGA-PBE
State: optimized geometry

abc: 9.8379 9.8379 24.0001
angles: 90.00 90.00 120.00
Last column: nearest neighbours and their distance in Å.
Space group R-3m (No. 166, hexagonal axes)
Asymmetric unit:
K: 0.0000 0.0000 0.2447  3 Br 3.40, 3 I 3.55
K: 0.0038 0.5019 0.7546  2 Br 3.40, 1 Au 3.44, 3 I 3.51-3.55
Au: 0.0000 0.0000 0.5000  6 K 3.44
I: 0.0000 0.0000 0.0000  6 K 3.51
I: 0.0000 0.5000 0.0000  6 K 3.55
Br: 0.0000 0.5000 0.5000  6 K 3.40

The formation energy (no corrections) is -1.424 eV/atom. Its energy is -2.88 eV/atom.

***

Record 18
Material: MgHgBiPb
Method: DFT, GGA-PBE
State: optimized geometry

abc: 7.6855 7.6855 7.6855
angles: 90.00 90.00 90.00
Last column: nearest neighbours and their distance in Å.
Space group F-43m (No. 216)
Asymmetric unit:
Mg: 0.0000 0.0000 0.0000  4 Bi 3.33, 4 Hg 3.33
Hg: 0.2500 0.2500 0.7500  4 Pb 3.33, 4 Mg 3.33
Bi: 0.2500 0.2500 0.2500  4 Pb 3.33, 4 Mg 3.33
Pb: 0.0000 0.0000 0.5000  4 Hg 3.33, 4 Bi 3.33

The calculation puts the offset from the most stable computed form at 0.0403 eV/atom. The formation energy comes out at -0.02 eV per atom. Its energy is -2.40 eV/atom.

***

Record 19
Material: CaPr3Nd3
Method: DFT, GGA-PBE
State: optimized geometry

abc: 8.8964 8.8964 23.1331
angles: 90.00 90.00 120.00
Last column: nearest neighbours and their distance in Å.
Space group R-3 (No. 148, hexagonal axes)
Asymmetric unit:
Ca: 0.0000 0.0000 0.1557  6 Nd 3.66-3.90, 6 Pr 3.82-3.98
Pr: 0.0520 0.4495 0.3782  4 Nd 3.42-3.75, 2 Pr 3.69, 1 Ca 3.82
Nd: 0.0046 0.2329 0.5595  4 Pr 3.42-3.75, 4 Nd 3.43-3.55, 1 Ca 3.66

The formation energy comes out at 0.20 eV per atom. Its energy is -4.17 eV/atom.

***

Record 20
Material: Sr2PuTaO6
Method: DFT, GGA-PBE
State: optimized geometry

abc: 4.2206 4.2206 8.5560
angles: 90.00 90.00 90.00
Last column: nearest neighbours and their distance in Å.
Space group P4/mmm (No. 123)
Asymmetric unit:
Sr: 0.0000 0.0000 0.2334  12 O 2.91-3.11
Pu: 0.5000 0.5000 0.5000  6 O 2.11-2.32
Ta: 0.5000 0.5000 0.0000  6 O 1.96-2.11
O: 0.0000 0.5000 0.0000  2 Ta 2.11
O: 0.0000 0.5000 0.5000  2 Pu 2.11
O: 0.5000 0.5000 0.2291  1 Ta 1.96

The formation energy (no corrections) is -2.851 eV/atom. Its energy is -8.78 eV/atom.